The following is a PBE with a Hubbard U calculation of a geometry-optimized PmCo2SO8 structure, from Alexandria.

a = 4.917 Å, b = 4.917 Å, c = 6.158 Å
α = 90.00°, β = 90.00°, γ = 120.00°
Site moments in Bohr magnetons follow the coordinates.
Element x y z (fractional)
Pm 0.000 0.000 0.500  0.03
Co 0.667 0.333 0.114  2.93
Co 0.333 0.667 0.886  2.93
S 0.000 0.000 0.000  -0.02
O 0.841 0.683 0.846  0.24
O 0.317 0.159 0.846  0.24
O 0.841 0.159 0.846  0.24
O 0.159 0.317 0.154  0.24
O 0.683 0.841 0.154  0.24
O 0.159 0.841 0.154  0.24
O 0.667 0.333 0.402  0.60
O 0.333 0.667 0.598  0.60

Crystal system: trigonal
DOS(E_F) (states/eV/cell): 4.44
Final energy (eV/atom): -5.8909
V (A^3/atom): 10.75
Space-group type: P-3m1